Crystalline HfMgFeAu2 at its relaxed geometry. Source: the Alexandria database, functional PBE.

Output
Fermi-level density of states (states/eV/atom): 0.78
Theoretical density (Mg/m³): 10.12
Formation energy (eV/atom): 0.3220

```
data_HfMgFeAu2
_cell_length_a 4.946
_cell_length_b 4.946
_cell_length_c 4.377
_cell_angle_alpha 90.00
_cell_angle_beta 90.00
_cell_angle_gamma 90.00
_space_group_name_H-M_alt 'P 4/m m m'
_space_group_IT_number 123
_space_group_name_Hall '-P 4 2'
loop_
_atom_site_label
_atom_site_fract_x
_atom_site_fract_y
_atom_site_fract_z
_atom_site_occupancy
Hf1 0.000 0.000 0.000 1
Mg1 0.500 0.500 0.000 1
Fe1 0.000 0.000 0.500 1
Au1 0.000 0.500 0.500 1
```

=====

Crystalline LaCuSi2 at its relaxed geometry. Source: the Alexandria database, functional PBE.

Output
Fermi-level density of states (states/eV/atom): 0.78
Theoretical density (Mg/m³): 5.57
Formation energy (no corrections) (eV/atom): 0.06

```
data_LaCuSi2
_cell_length_a 3.041
_cell_length_b 5.356
_cell_length_c 9.474
_cell_angle_alpha 90.00
_cell_angle_beta 90.00
_cell_angle_gamma 90.00
_space_group_name_H-M_alt 'I m m m'
_space_group_IT_number 71
_space_group_name_Hall '-I 2 2'
loop_
_atom_site_label
_atom_site_fract_x
_atom_site_fract_y
_atom_site_fract_z
_atom_site_occupancy
La1 0.000 0.000 0.000 1
Cu1 0.000 0.000 0.500 1
Si1 0.000 0.500 0.211 1
```

=====

Q: Among the records above, which one has the lowest theoretical density?
A: LaCuSi2

=====

Q: Which value of theoretical density does entry 2 give?
A: 5.57 Mg/m³

=====

Please write out number 1 again, unchanged.
Crystalline HfMgFeAu2 at its relaxed geometry. Source: the Alexandria database, functional PBE.

Output
Fermi-level density of states (states/eV/atom): 0.78
Theoretical density (Mg/m³): 10.12
Formation energy (eV/atom): 0.3220

```
data_HfMgFeAu2
_cell_length_a 4.946
_cell_length_b 4.946
_cell_length_c 4.377
_cell_angle_alpha 90.00
_cell_angle_beta 90.00
_cell_angle_gamma 90.00
_space_group_name_H-M_alt 'P 4/m m m'
_space_group_IT_number 123
_space_group_name_Hall '-P 4 2'
loop_
_atom_site_label
_atom_site_fract_x
_atom_site_fract_y
_atom_site_fract_z
_atom_site_occupancy
Hf1 0.000 0.000 0.000 1
Mg1 0.500 0.500 0.000 1
Fe1 0.000 0.000 0.500 1
Au1 0.000 0.500 0.500 1
```